Entry 1:
Compound: Tb3Sc2In3
Source: Alexandria
Functional: PBE
Structure: optimized geometry

Formation energy from the elements ... -346 meV/atom

```
Tb3Sc2In3
1.0
-2.1851 2.4095 9.9709
2.1851 -2.4095 9.9709
2.1851 2.4095 -9.9709
Tb Sc In
3 2 3
Direct
0.0000 0.0000 0.0000 Tb
0.3772 0.8772 0.5000 Tb
0.6228 0.1228 0.5000 Tb
0.2419 0.2419 0.0000 Sc
0.7581 0.7581 0.0000 Sc
0.1354 0.6354 0.5000 In
0.5000 0.5000 0.0000 In
0.8646 0.3646 0.5000 In
```

---

Entry 2:
Compound: Tb3Sc7In2
Source: Alexandria
Functional: PBE
Structure: optimized geometry

Formation energy from the elements ... 41 meV/atom

```
Tb3Sc7In2
1.0
3.0759 1.7759 10.1303
-3.0759 1.7759 10.1303
0.0000 -3.5517 10.1303
Tb Sc In
3 7 2
Direct
0.0000 0.0000 0.0000 Tb
0.1453 0.1453 0.1453 Tb
0.8547 0.8547 0.8547 Tb
0.0826 0.5808 0.5808 Sc
0.4192 0.4192 0.9174 Sc
0.4192 0.9174 0.4192 Sc
0.5000 0.5000 0.5000 Sc
0.5808 0.0826 0.5808 Sc
0.5808 0.5808 0.0826 Sc
0.9174 0.4192 0.4192 Sc
0.3333 0.3333 0.3333 In
0.6667 0.6667 0.6667 In
```

---

Entry 3:
Compound: TbScInTc
Source: Alexandria
Functional: PBE
Structure: optimized geometry

Formation energy from the elements ... -186 meV/atom

```
TbScInTc
1.0
0.0000 3.4981 3.4981
3.4981 0.0000 3.4981
3.4981 3.4981 0.0000
Tb Sc In Tc
1 1 1 1
Direct
0.0000 0.0000 0.0000 Tb
0.5000 0.5000 0.5000 Sc
0.2500 0.2500 0.2500 In
0.7500 0.7500 0.7500 Tc
```

---

Entry 4:
Compound: TbScIn2Te4
Source: Alexandria
Functional: PBE
Structure: optimized geometry

Uncorrected formation energy ... -0.91 eV per atom

```
TbScIn2Te4
1.0
7.5021 0.0000 0.0000
0.0000 4.3284 0.0000
-2.4879 0.0000 8.0475
Tb Sc In Te
1 1 2 4
Direct
0.0000 0.0000 0.0000 Tb
0.5000 0.5000 0.0000 Sc
0.0000 0.5000 0.5000 In
0.5000 0.0000 0.5000 In
0.2506 0.5000 0.2183 Te
0.2741 0.0000 0.7883 Te
0.7259 0.0000 0.2117 Te
0.7494 0.5000 0.7817 Te
```

---

Entry 5:
Compound: TbSc2In3Te6
Source: Alexandria
Functional: PBE
Structure: optimized geometry

Uncorrected formation energy ... -0.89 eV per atom

```
TbSc2In3Te6
1.0
3.7237 -6.4400 0.0000
3.7237 6.4400 0.0000
-2.4792 0.0000 8.0339
Tb Sc In Te
1 2 3 6
Direct
0.0000 0.0000 0.0000 Tb
0.3325 0.6675 0.0000 Sc
0.6675 0.3325 0.0000 Sc
0.1615 0.8385 0.5000 In
0.5000 0.5000 0.5000 In
0.8385 0.1615 0.5000 In
0.0717 0.4175 0.2147 Te
0.2765 0.2765 0.7902 Te
0.4175 0.0717 0.2147 Te
0.5825 0.9283 0.7853 Te
0.7235 0.7235 0.2098 Te
0.9283 0.5825 0.7853 Te
```

---

Entry 6:
Compound: TbThScIn
Source: Alexandria
Functional: PBE
Structure: optimized geometry

Formation energy from the elements ... -89 meV/atom

```
TbThScIn
1.0
0.0000 3.8217 3.8217
3.8217 0.0000 3.8217
3.8217 3.8217 0.0000
Tb Th Sc In
1 1 1 1
Direct
0.0000 0.0000 0.0000 Tb
0.5000 0.5000 0.5000 Th
0.7500 0.7500 0.7500 Sc
0.2500 0.2500 0.2500 In
```

---

Entry 7:
Compound: TbScTlIn
Source: Alexandria
Functional: PBE
Structure: optimized geometry

Formation energy from the elements ... -364 meV/atom

```
TbScTlIn
1.0
0.0000 3.6943 3.6943
3.6943 0.0000 3.6943
3.6943 3.6943 0.0000
Tb Sc Tl In
1 1 1 1
Direct
0.0000 0.0000 0.0000 Tb
0.5000 0.5000 0.5000 Sc
0.2500 0.2500 0.2500 Tl
0.7500 0.7500 0.7500 In
```

---

Entry 8:
Compound: Tb6Tm2Sc3In
Source: Alexandria
Functional: PBE
Structure: optimized geometry

Formation energy from the elements ... -23 meV/atom

```
Tb6Tm2Sc3In
1.0
2.9864 -5.1722 0.0000
2.9864 5.1722 0.0000
-1.9914 0.0000 11.1559
Tb Tm Sc In
6 2 3 1
Direct
0.0855 0.4160 0.7561 Tb
0.2447 0.2447 0.2432 Tb
0.4160 0.0855 0.7561 Tb
0.5840 0.9145 0.2439 Tb
0.7553 0.7553 0.7568 Tb
0.9145 0.5840 0.2439 Tb
0.3336 0.6664 0.5000 Tm
0.6664 0.3336 0.5000 Tm
0.1670 0.8330 0.0000 Sc
0.5000 0.5000 0.0000 Sc
0.8330 0.1670 0.0000 Sc
0.0000 0.0000 0.5000 In
```

---

Entry 9:
Compound: TbTmSc2In4
Source: Alexandria
Functional: PBE
Structure: optimized geometry

Formation energy from the elements ... -420 meV/atom

```
TbTmSc2In4
1.0
2.5841 1.4919 8.4549
-2.5841 1.4919 8.4549
0.0000 -2.9838 8.4549
Tb Tm Sc In
1 1 2 4
Direct
0.0000 0.0000 0.0000 Tb
0.5000 0.5000 0.5000 Tm
0.2497 0.2497 0.2497 Sc
0.7503 0.7503 0.7503 Sc
0.1257 0.1257 0.1257 In
0.3758 0.3758 0.3758 In
0.6242 0.6242 0.6242 In
0.8743 0.8743 0.8743 In
```

---

Entry 10:
Compound: TbTmScIn
Source: Alexandria
Functional: PBE
Structure: optimized geometry

Distance to the lowest polymorph of the same formula ... 10.3 kJ per mole of atoms
Formation energy from the elements ... -152 meV/atom

```
TbTmScIn
1.0
0.0000 3.7643 3.7643
3.7643 0.0000 3.7643
3.7643 3.7643 0.0000
Tb Tm Sc In
1 1 1 1
Direct
0.0000 0.0000 0.0000 Tb
0.5000 0.5000 0.5000 Tm
0.7500 0.7500 0.7500 Sc
0.2500 0.2500 0.2500 In
```

---

Entry 11:
Compound: TbTm2ScIn4
Source: Alexandria
Functional: PBE
Structure: optimized geometry

Formation energy from the elements ... -423 meV/atom

```
TbTm2ScIn4
1.0
2.6104 1.5071 8.5651
-2.6104 1.5071 8.5651
0.0000 -3.0142 8.5651
Tb Tm Sc In
1 2 1 4
Direct
0.0000 0.0000 0.0000 Tb
0.2493 0.2493 0.2493 Tm
0.7507 0.7507 0.7507 Tm
0.5000 0.5000 0.5000 Sc
0.1270 0.1270 0.1270 In
0.3772 0.3772 0.3772 In
0.6228 0.6228 0.6228 In
0.8730 0.8730 0.8730 In
```

---

Entry 12:
Compound: TbTmScIn
Source: Alexandria
Functional: PBE
Structure: optimized geometry

Distance to the lowest polymorph of the same formula ... 0.0 kJ per mole of atoms
Formation energy from the elements ... -258 meV/atom

```
TbTmScIn
1.0
4.7077 0.0000 0.0000
0.0000 4.7235 0.0000
0.0000 0.0000 4.7428
Tb Tm Sc In
1 1 1 1
Direct
0.0000 0.0000 0.0000 Tb
0.0000 0.5000 0.5000 Tm
0.5000 0.5000 0.0000 Sc
0.5000 0.0000 0.5000 In
```

---

Entry 13:
Compound: TbY2ScIn2
Source: Alexandria
Functional: PBE
Structure: optimized geometry

Formation energy from the elements ... -370 meV/atom

```
TbY2ScIn2
1.0
5.2813 0.0000 0.0000
0.0000 9.2152 0.0000
0.0000 0.0000 6.7072
Tb Y Sc In
2 4 2 4
Direct
0.0000 0.0099 0.0000 Tb
0.0000 0.9901 0.5000 Tb
0.0000 0.3344 0.2679 Y
0.0000 0.6656 0.7679 Y
0.5000 0.4877 0.0044 Y
0.5000 0.5123 0.5044 Y
0.5000 0.1705 0.7381 Sc
0.5000 0.8295 0.2381 Sc
0.0000 0.3269 0.7574 In
0.0000 0.6731 0.2574 In
0.5000 0.1557 0.2495 In
0.5000 0.8443 0.7495 In
```

---

Entry 14:
Compound: TbY2Sc2In5
Source: Alexandria
Functional: PBE
Structure: optimized geometry

Formation energy from the elements ... -346 meV/atom

```
TbY2Sc2In5
1.0
10.5638 0.0000 0.0000
0.0000 10.5638 0.0000
0.0000 0.0000 4.6557
Tb Y Sc In
2 4 4 10
Direct
0.0000 0.0000 0.0000 Tb
0.5000 0.5000 0.0000 Tb
0.1774 0.3226 0.0000 Y
0.3226 0.8226 0.0000 Y
0.6774 0.1774 0.0000 Y
0.8226 0.6774 0.0000 Y
0.1193 0.6193 0.0000 Sc
0.3807 0.1193 0.0000 Sc
0.6193 0.8807 0.0000 Sc
0.8807 0.3807 0.0000 Sc
0.0000 0.5000 0.5000 In
0.0682 0.7977 0.5000 In
0.2023 0.0682 0.5000 In
0.2977 0.5682 0.5000 In
0.4318 0.2977 0.5000 In
0.5000 0.0000 0.5000 In
0.5682 0.7023 0.5000 In
0.7023 0.4318 0.5000 In
0.7977 0.9318 0.5000 In
0.9318 0.2023 0.5000 In
```

---

Entry 15:
Compound: TbSc2Zn2In2
Source: Alexandria
Functional: PBE
Structure: optimized geometry

Formation energy from the elements ... -261 meV/atom

```
TbSc2Zn2In2
1.0
2.3217 1.3404 8.4787
-2.3217 1.3404 8.4787
0.0000 -2.6808 8.4787
Tb Sc Zn In
1 2 2 2
Direct
0.0000 0.0000 0.0000 Tb
0.1357 0.1357 0.1357 Sc
0.8643 0.8643 0.8643 Sc
0.4385 0.4385 0.4385 Zn
0.5615 0.5615 0.5615 Zn
0.2611 0.2611 0.2611 In
0.7389 0.7389 0.7389 In
```

---

Entry 16:
Compound: TbScZnIn
Source: Alexandria
Functional: PBE
Structure: optimized geometry

Distance to the lowest polymorph of the same formula ... 0.0 kJ per mole of atoms
Formation energy from the elements ... -414 meV/atom

```
TbScZnIn
1.0
3.5452 0.0000 0.0000
0.0000 3.5452 0.0000
0.0000 0.0000 7.2148
Tb Sc Zn In
1 1 1 1
Direct
0.0000 0.0000 0.0000 Tb
0.0000 0.0000 0.4600 Sc
0.5000 0.5000 0.2570 Zn
0.5000 0.5000 0.7101 In
```

---

Entry 17:
Compound: TbScZnIn
Source: Alexandria
Functional: PBE
Structure: optimized geometry

Distance to the lowest polymorph of the same formula ... 2.7 kJ per mole of atoms
Formation energy from the elements ... -386 meV/atom

```
TbScZnIn
1.0
0.0000 3.5814 3.5814
3.5814 0.0000 3.5814
3.5814 3.5814 0.0000
Tb Sc Zn In
1 1 1 1
Direct
0.0000 0.0000 0.0000 Tb
0.5000 0.5000 0.5000 Sc
0.2500 0.2500 0.2500 Zn
0.7500 0.7500 0.7500 In
```

---

Entry 18:
Compound: ScInTc3
Source: Alexandria
Functional: PBE
Structure: optimized geometry

Distance to the lowest polymorph of the same formula ... 0.0 kJ per mole of atoms
Formation energy from the elements ... 1559 meV/atom

```
ScInTc3
1.0
4.6416 0.0000 0.0000
0.0000 4.6416 0.0000
0.0000 0.0000 4.6416
Sc In Tc
1 1 3
Direct
0.0000 0.0000 0.0000 Sc
0.5000 0.5000 0.5000 In
0.0000 0.0000 0.5000 Tc
0.0000 0.5000 0.0000 Tc
0.5000 0.0000 0.0000 Tc
```

---

Entry 19:
Compound: ScInTc2
Source: Alexandria
Functional: PBE
Structure: optimized geometry

Distance to the lowest polymorph of the same formula ... 19.6 kJ per mole of atoms
Formation energy from the elements ... 32 meV/atom

```
ScInTc2
1.0
-2.3024 2.3024 3.2478
2.3024 -2.3024 3.2478
2.3024 2.3024 -3.2478
Sc In Tc
1 1 2
Direct
0.0000 0.0000 0.0000 Sc
0.7500 0.2500 0.5000 In
0.2500 0.7500 0.5000 Tc
0.5000 0.5000 0.0000 Tc
```

---

Entry 20:
Compound: ScInTc2
Source: Alexandria
Functional: PBE
Structure: optimized geometry

Distance to the lowest polymorph of the same formula ... 26.9 kJ per mole of atoms
Formation energy from the elements ... 108 meV/atom

```
ScInTc2
1.0
1.5358 0.8867 8.9777
-1.5358 0.8867 8.9777
0.0000 -1.7734 8.9777
Sc In Tc
1 1 2
Direct
0.0000 0.0000 0.0000 Sc
0.7648 0.7648 0.7648 In
0.2534 0.2534 0.2534 Tc
0.5181 0.5181 0.5181 Tc
```

---

no.,calculated total energy (eV/atom),total magnetization (μB/f.u.)
1,-4.692,0.70
2,-5.266,2.42
3,-6.203,0.00
4,-4.533,0.00
5,-4.585,0.00
6,-5.369,0.00
7,-4.381,0.00
8,-4.895,0.00
9,-4.510,0.00
10,-4.694,0.78
11,-4.280,0.00
12,-4.801,0.72
13,-5.264,0.39
14,-4.738,0.00
15,-3.878,0.30
16,-4.158,0.00
17,-4.130,0.00
18,-6.475,2.64
19,-7.419,0.00
20,-7.343,0.00